{"formula": "Dy8Zn2Pb", "functional": "PBE-GGA", "state": "relaxed", "space_group": "C2/m (12)", "delta_e_f_ev_per_fu": -2.4, "final_energy_ev_per_atom": -4.1298, "lattice": [[8.101, -2.586, 0.000], [8.101, 2.586, 0.000], [-4.048, 0.000, 7.284]], "species": ["Dy", "Dy", "Dy", "Dy", "Dy", "Dy", "Dy", "Dy", "Zn", "Zn", "Pb"], "frac_coords": [[0.066, 0.066, 0.222], [0.151, 0.151, 0.711], [0.314, 0.314, 0.536], [0.398, 0.398, 0.034], [0.602, 0.602, 0.966], [0.686, 0.686, 0.464], [0.849, 0.849, 0.289], [0.934, 0.934, 0.778], [0.217, 0.217, 0.115], [0.783, 0.783, 0.885], [0.500, 0.500, 0.500]]}